No. 1
AsHS2Cl | GGA-PBE | optimized geometry

Results
SG   P4/mmm, No. 123
Mass density   2.54 g/cm³
Energy above the lowest structure with this stoichiometry   937.4 meV per atom

Unit cell a=4.737 b=4.737 c=5.112 alpha=90.00 beta=90.00 gamma=90.00
Site moments in Bohr magnetons follow the coordinates.
Atoms (fractional coordinates):
H  0.500  0.500  0.500  0.36
As  0.000  0.000  0.000  0.02
S  0.000  0.500  0.000  -0.20
S  0.500  0.000  0.000  -0.20
Cl  0.000  0.000  0.500  -0.04

No. 2
CsZnAu3 | GGA-PBE | optimized geometry

Results
SG   P1, No. 1
Mass density   10.40 g/cm³
Energy above the lowest structure with this stoichiometry   54.2 meV per atom
Formation energy   -0.132 eV/atom

Unit cell a=5.596 b=7.102 c=7.423 alpha=58.88 beta=91.71 gamma=88.19
Atoms (fractional coordinates):
Cs  0.376  0.152  0.272
Cs  0.381  0.534  0.687
Zn  0.892  0.780  0.259
Zn  0.654  0.993  0.805
Au  0.855  0.336  0.476
Au  0.173  0.988  0.815
Au  0.462  0.686  0.160
Au  0.885  0.868  0.558
Au  0.878  0.216  0.958
Au  0.893  0.568  0.025

No. 3
Ta2ZnGa4 | GGA-PBE | optimized geometry

Results
SG   C2/m, No. 12
Mass density   9.76 g/cm³
Energy above the lowest structure with this stoichiometry   0.0 meV per atom
Formation energy   0.061 eV/atom

Unit cell a=3.032 b=5.859 c=7.546 alpha=113.22 beta=101.59 gamma=90.00
Atoms (fractional coordinates):
Ta  0.764  0.794  0.528
Ta  0.236  0.206  0.472
Zn  0.000  0.000  0.000
Ga  0.908  0.284  0.815
Ga  0.092  0.716  0.185
Ga  0.610  0.351  0.221
Ga  0.390  0.649  0.779

No. 4
YCr2Tc2 | GGA-PBE | optimized geometry

Results
SG   P4/mbm, No. 127
Mass density   8.19 g/cm³
Energy above the lowest structure with this stoichiometry   168.7 meV per atom
Formation energy   0.279 eV/atom

Unit cell a=7.469 b=7.469 c=2.826 alpha=90.00 beta=90.00 gamma=90.00
Atoms (fractional coordinates):
Y  0.000  0.000  0.000
Y  0.500  0.500  0.000
Cr  0.359  0.859  0.000
Cr  0.859  0.641  0.000
Cr  0.641  0.141  0.000
Cr  0.141  0.359  0.000
Tc  0.146  0.646  0.500
Tc  0.646  0.854  0.500
Tc  0.854  0.354  0.500
Tc  0.354  0.146  0.500

No. 5
Al2Sn2O7 | GGA-PBE | optimized geometry

Results
SG   Fd-3m, No. 227
VASP energy   -138.2 eV for the cell shown
Mass density   5.47 g/cm³

Unit cell a=7.024 b=7.024 c=7.024 alpha=60.00 beta=60.00 gamma=60.00
Atoms (fractional coordinates):
Al  0.625  0.625  0.625
Al  0.625  0.125  0.625
Al  0.125  0.625  0.625
Al  0.625  0.625  0.125
Sn  0.125  0.125  0.125
Sn  0.125  0.625  0.125
Sn  0.625  0.125  0.125
Sn  0.125  0.125  0.625
O  0.500  0.500  0.500
O  0.750  0.750  0.750
O  0.232  0.768  0.768
O  0.482  0.018  0.018
O  0.232  0.232  0.768
O  0.768  0.232  0.768
O  0.232  0.768  0.232
O  0.768  0.768  0.232
O  0.768  0.232  0.232
O  0.018  0.482  0.018
O  0.482  0.018  0.482
O  0.018  0.482  0.482
O  0.482  0.482  0.018
O  0.018  0.018  0.482

No. 6
Rb2Li14Pb3O14 | GGA-PBE | optimized geometry

Results
SG   Immm, No. 71
VASP energy   -162.4 eV for the cell shown
Mass density   4.74 g/cm³

Unit cell a=8.521 b=8.521 c=8.521 alpha=128.67 beta=123.19 gamma=80.08
Atoms (fractional coordinates):
Li  0.841  0.500  0.341
Li  0.159  0.500  0.659
Li  0.877  0.231  0.646
Li  0.123  0.769  0.354
Li  0.415  0.769  0.646
Li  0.585  0.231  0.354
Li  0.979  0.406  0.116
Li  0.021  0.137  0.427
Li  0.710  0.594  0.573
Li  0.290  0.863  0.884
Li  0.021  0.594  0.884
Li  0.979  0.863  0.573
Li  0.290  0.406  0.427
Li  0.710  0.137  0.116
O  0.251  0.959  0.708
O  0.749  0.457  0.708
O  0.749  0.041  0.292
O  0.251  0.543  0.292
O  0.000  0.295  0.295
O  0.000  0.705  0.705
O  0.941  0.127  0.814
O  0.059  0.873  0.186
O  0.687  0.873  0.814
O  0.313  0.127  0.186
O  0.153  0.371  0.782
O  0.847  0.629  0.218
O  0.411  0.629  0.782
O  0.589  0.371  0.218
Pb  0.272  0.272  0.000
Pb  0.728  0.728  0.000
Pb  0.000  0.000  0.000
Rb  0.500  0.765  0.265
Rb  0.500  0.235  0.735